# Ca5Y3Se8, optimized geometry, DFT GGA-PBE
# ΔE_f (raw)	-1920	meV per atom
# total magnetization	0.00	μB per atom
# E_tot	-5.500	eV per atom
data_Ca5Y3Se8
_chemical_formula_sum 'Ca15 Y9 Se24'
_cell_length_a 8.2799
_cell_length_b 8.2799
_cell_length_c 20.4634
_cell_angle_alpha 90.00
_cell_angle_beta 90.00
_cell_angle_gamma 120.00
_space_group_name_H-M_alt 'R -3 m'
_space_group_IT_number 166
_space_group_name_Hall '-R 3 2"'
loop_
_atom_site_label
_atom_site_type_symbol
_atom_site_fract_x
_atom_site_fract_y
_atom_site_fract_z
Ca1 Ca 0.0000 0.0000 0.0000
Ca2 Ca 0.0000 0.0000 0.5000
Ca3 Ca 0.0000 0.5000 0.0000
Y1 Y 0.0000 0.5000 0.5000
Se1 Se 0.0000 0.0000 0.2486
Se2 Se 0.0025 0.5012 0.7512



# In7SnHg2Bi2, optimized geometry, DFT GGA-PBE
# total magnetization	0.00	μB per atom
# energy of formation	0.071	eV per atom
# E_tot	-2.558	eV per atom
data_In7SnHg2Bi2
_chemical_formula_sum 'In14 Sn2 Hg4 Bi4'
_cell_length_a 4.632
_cell_length_b 29.661
_cell_length_c 5.547
_cell_angle_alpha 90.00
_cell_angle_beta 90.00
_cell_angle_gamma 90.00
_space_group_name_H-M_alt 'I m m 2'
_space_group_IT_number 44
_space_group_name_Hall 'I 2 -2'
loop_
_atom_site_label
_atom_site_type_symbol
_atom_site_fract_x
_atom_site_fract_y
_atom_site_fract_z
In1 In 0.000 0.000 0.000
In2 In 0.000 0.067 0.460
In3 In 0.000 0.245 0.847
In4 In 0.000 0.418 0.547
Sn1 Sn 0.000 0.500 0.116
Hg1 Hg 0.000 0.137 0.851
Bi1 Bi 0.000 0.188 0.347